! Cd2As2Ru (GGA-PBE, relaxed); values from VASP
&SYSTEM
  ibrav = 0, nat = 10, ntyp = 3
/
ATOMIC_SPECIES
Ru 101.07 Ru.upf
Cd 112.41 Cd.upf
As 74.92 As.upf
CELL_PARAMETERS angstrom
-0.736 -5.269 3.369
1.477 -3.443 -5.061
4.828 0.158 1.302
ATOMIC_POSITIONS angstrom
Ru 0.371 -4.356 -0.846
Ru 0.000 0.000 0.000
Cd 2.450 -2.222 0.797
Cd 2.281 -5.321 1.798
Cd 3.119 -6.332 -1.187
Cd 3.288 -3.233 -2.189
As 1.004 -4.837 -3.136
As 0.424 -1.981 -1.331
As -0.263 -3.875 1.444
As 0.318 -6.730 -0.362
! Theoretical density = 8.0 Mg/m³
! SG = P4/mbm (127)
! Energy of formation = 0.0422 eV per atom
! E = -4.039 eV per atom
! DOS at the Fermi energy = 4.27 states/eV/cell